No. 1
# KLuFeS3 GGA-PBE relaxed
# Theoretical density (g cm⁻³): 4.42
# Symmetry: P2_1/m (11)
# Excess energy over the best structure of this formula in the dataset (eV/atom): 0.024
data_KLuFeS3
_symmetry_space_group_name_H-M 'P 1'
_symmetry_Int_Tables_number 1
_cell_length_a 3.934
_cell_length_b 10.264
_cell_length_c 13.628
_cell_angle_alpha 90.02
_cell_angle_beta 90.00
_cell_angle_gamma 90.00
loop_
_symmetry_equiv_pos_as_xyz
'x,y,z'
loop_
_atom_site_label
_atom_site_fract_x
_atom_site_fract_y
_atom_site_fract_z
S1 0.250 0.055 0.872
Lu1 0.250 0.507 0.246
K1 0.750 0.236 0.006
Fe1 0.750 0.757 0.218
S2 0.250 0.426 0.877
Fe2 0.250 0.243 0.782
Lu2 0.750 0.993 0.746
S3 0.250 0.255 0.188
K2 0.250 0.264 0.506
S4 0.750 0.074 0.377
Lu3 0.250 0.007 0.254
S5 0.250 0.926 0.623
K3 0.750 0.736 0.494
Lu4 0.750 0.493 0.754
S6 0.750 0.945 0.128
S7 0.750 0.574 0.123
S8 0.250 0.756 0.312
K4 0.250 0.764 0.994
S9 0.250 0.555 0.628
S10 0.750 0.445 0.372
Fe3 0.250 0.743 0.718
Fe4 0.750 0.257 0.282
S11 0.750 0.244 0.688
S12 0.750 0.745 0.812

No. 2
# TbInCo2 GGA-PBE relaxed
# Theoretical density (g cm⁻³): 9.11
# Symmetry: Pmma (51)
# E_tot (eV for the cell shown): -44.8
data_TbInCo2
_symmetry_space_group_name_H-M 'P 1'
_symmetry_Int_Tables_number 1
_cell_length_a 5.014
_cell_length_b 4.013
_cell_length_c 7.099
_cell_angle_alpha 90.00
_cell_angle_beta 90.00
_cell_angle_gamma 90.00
loop_
_symmetry_equiv_pos_as_xyz
'x,y,z'
loop_
_atom_site_label
_atom_site_fract_x
_atom_site_fract_y
_atom_site_fract_z
Co1 0.000 0.000 0.000
Co2 0.750 0.500 0.092
Co3 0.500 0.000 0.000
Tb1 0.250 0.500 0.280
In1 0.750 0.000 0.350
Tb2 0.750 0.500 0.720
Co4 0.250 0.500 0.908
In2 0.250 0.000 0.650

No. 3
# CsNaHg2BiSb GGA-PBE relaxed
# Theoretical density (g cm⁻³): 6.91
# Symmetry: P3m1 (156)
# E_tot (eV for the cell shown): -12.7
data_CsNaHg2BiSb
_symmetry_space_group_name_H-M 'P 1'
_symmetry_Int_Tables_number 1
_cell_length_a 4.959
_cell_length_b 4.959
_cell_length_c 10.012
_cell_angle_alpha 90.00
_cell_angle_beta 90.00
_cell_angle_gamma 120.00
loop_
_symmetry_equiv_pos_as_xyz
'x,y,z'
loop_
_atom_site_label
_atom_site_fract_x
_atom_site_fract_y
_atom_site_fract_z
Na1 0.667 0.333 0.998
Sb1 0.333 0.667 0.214
Hg1 0.000 0.000 0.174
Cs1 0.667 0.333 0.493
Bi1 0.000 0.000 0.776
Hg2 0.333 0.667 0.845